Material: La6CeDy2Ho
Method: DFT, PBE-GGA
State: optimized geometry

The value obtained for the calculated formation energy is 2.25 eV/f.u. The value obtained for the theoretical density is 6.8 Mg/m³. The density of states at the Fermi level comes out at 23.00 states/eV/f.u. As for the volume: 35.6 Å³/atom.

The space group is C2/m (No. 12) and the conventional cell measures 12.169, 6.906 and 9.024 Å, with angles of 90.00, 110.36 and 90.00 degrees. The inequivalent atoms are La at (0.145, 0.241, 0.305), La at (0.165, 0.000, 0.919), Ce at (0.000, 0.000, 0.500), Dy at (0.102, 0.500, 0.680) and Ho at (0.000, 0.500, 0.000).